BaNpMnSe4 after structural relaxation. Source: the Alexandria database, functional PBE.

Properties
As for the total moment: 8.00 μB per formula unit. The uncorrected formation energy comes out at -1165 meV per atom.

Lattice parameters (Å, degrees): 6.837 6.662 8.931 90.00 108.13 90.00
Sites, in units of the cell vectors:
Ba 0.249 0.250 0.440
Ba 0.751 0.750 0.560
Np 0.269 0.250 0.945
Np 0.731 0.750 0.055
Mn 0.270 0.750 0.177
Mn 0.730 0.250 0.823
Se 0.059 0.750 0.910
Se 0.073 0.750 0.358
Se 0.478 0.514 0.779
Se 0.478 0.986 0.779
Se 0.522 0.014 0.221
Se 0.522 0.486 0.221
Se 0.927 0.250 0.642
Se 0.941 0.250 0.090